[1]
Material: KCa2TaOs
Method: DFT, GGA-PBE
State: optimized geometry

Values from the calculation:
The calculated volume is 162.7 Å³ per cell. For the density, the calculation gives 5.0 Mg/m³. The value obtained for the energy relative to the elements is 0.554 eV per atom. As for the magnetic moment: 0.6 Bohr magnetons per cell.

Cell: 5.7824 4.8647 5.7824 Å, 90.00 90.00 90.00°
With the nearest neighbours (Å) after each atom.
Atoms (fractional coordinates):
Ca: 0.0000 0.0000 0.5000  2 Os 2.89
Ca: 0.5000 0.0000 0.0000  2 Os 2.89
Ta: 0.0000 0.5000 0.0000  2 Os 2.43
K: 0.5000 0.5000 0.5000  8 Ca 3.78, 4 Ta 4.09
Os: 0.0000 0.0000 0.0000  2 Ta 2.43


[2]
Material: KCaTi2Os
Method: DFT, GGA-PBE
State: optimized geometry

Values from the calculation:
The calculated volume is 97.1 Å³ per cell. For the density, the calculation gives 6.2 Mg/m³. The value obtained for the energy relative to the elements is 2.133 eV per atom. As for the magnetic moment: 0.0 Bohr magnetons per cell.

Cell: 4.4939 4.8083 4.4939 Å, 90.00 90.00 90.00°
With the nearest neighbours (Å) after each atom.
Atoms (fractional coordinates):
K: 0.0000 0.0000 0.0000  4 Ti 2.25, 2 Ca 2.40
Os: 0.5000 0.5000 0.5000  4 Ca 3.18, 8 Ti 3.29
Ca: 0.0000 0.5000 0.0000  2 K 2.40
Ti: 0.5000 0.0000 0.0000  2 K 2.25
Ti: 0.0000 0.0000 0.5000  2 K 2.25


[3]
Material: KCaVOs2
Method: DFT, GGA-PBE
State: optimized geometry

Values from the calculation:
The calculated volume is 116.3 Å³ per cell. For the density, the calculation gives 7.3 Mg/m³. The value obtained for the energy relative to the elements is 1.143 eV per atom. As for the magnetic moment: 0.3 Bohr magnetons per cell.

Cell: 4.6069 5.4801 4.6069 Å, 90.00 90.00 90.00°
With the nearest neighbours (Å) after each atom.
Atoms (fractional coordinates):
Os: 0.5000 0.0000 0.0000  2 V 2.30
Os: 0.0000 0.0000 0.5000  2 V 2.30
V: 0.0000 0.0000 0.0000  4 Os 2.30
Ca: 0.0000 0.5000 0.0000  2 V 2.74
K: 0.5000 0.5000 0.5000  4 Ca 3.26, 8 Os 3.58


[4]
Material: K2CaZnOs
Method: DFT, GGA-PBE
State: optimized geometry

Values from the calculation:
The calculated volume is 260.5 Å³ per cell. For the density, the calculation gives 2.4 Mg/m³. The value obtained for the energy relative to the elements is 1.814 eV per atom. As for the magnetic moment: 2.3 Bohr magnetons per cell.

Cell: 6.8535 5.5458 6.8535 Å, 90.00 90.00 90.00°
With the nearest neighbours (Å) after each atom.
Atoms (fractional coordinates):
K: 0.5000 0.0000 0.0000  2 Ca 3.43
Os: 0.5000 0.5000 0.5000  8 K 4.41, 4 Zn 4.85
Zn: 0.0000 0.5000 0.0000  2 Ca 2.77
Ca: 0.0000 0.0000 0.0000  2 Zn 2.77
K: 0.0000 0.0000 0.5000  2 Ca 3.43


[5]
Material: KCaP2
Method: DFT, GGA-PBE
State: optimized geometry

Values from the calculation:
The calculated volume is 95.8 Å³ per cell. For the density, the calculation gives 2.4 Mg/m³. The value obtained for the energy relative to the elements is -0.147 eV per atom. As for the magnetic moment: 0.0 Bohr magnetons per cell.

Cell: 5.1367 5.1367 5.1367 Å, 60.00 60.00 60.00°
With the nearest neighbours (Å) after each atom.
Atoms (fractional coordinates):
P: 0.2500 0.2500 0.2500  4 K 3.15, 4 Ca 3.15
K: 0.0000 0.0000 0.0000  8 P 3.15
Ca: 0.5000 0.5000 0.5000  8 P 3.15
P: 0.7500 0.7500 0.7500  4 K 3.15, 4 Ca 3.15


[6]
Material: K2CaP
Method: DFT, GGA-PBE
State: optimized geometry

Values from the calculation:
The calculated volume is 162.7 Å³ per cell. For the density, the calculation gives 1.5 Mg/m³. The value obtained for the energy relative to the elements is -0.357 eV per atom. As for the magnetic moment: 0.0 Bohr magnetons per cell.

Cell: 4.0293 4.0293 10.0183 Å, 90.00 90.00 90.05°
With the nearest neighbours (Å) after each atom.
Atoms (fractional coordinates):
K: 0.5000 0.5000 0.3249  1 Ca 3.19
K: 0.0000 0.0000 0.9365  1 P 3.42
P: 0.0000 0.0000 0.5956  4 Ca 2.89
Ca: 0.5000 0.5000 0.6430  4 P 2.89, 1 K 3.19


[7]
Material: K2CaP
Method: DFT, GGA-PBE
State: optimized geometry

Values from the calculation:
The calculated volume is 171.5 Å³ per cell. For the density, the calculation gives 1.4 Mg/m³. The value obtained for the energy relative to the elements is 0.256 eV per atom. As for the magnetic moment: 0.0 Bohr magnetons per cell.

Cell: 12.5686 12.5686 12.5686 Å, 18.33 18.33 18.33°
With the nearest neighbours (Å) after each atom.
Atoms (fractional coordinates):
K: 0.5248 0.5248 0.5248  3 P 3.17
K: 0.9752 0.9752 0.9752  3 P 3.17
P: 0.2500 0.2500 0.2500  6 K 3.17
Ca: 0.7500 0.7500 0.7500  6 Ca 4.00


[8]
Material: K2CaP
Method: DFT, GGA-PBE
State: optimized geometry

Values from the calculation:
The calculated volume is 178.6 Å³ per cell. For the density, the calculation gives 1.4 Mg/m³. The value obtained for the energy relative to the elements is -0.264 eV per atom. As for the magnetic moment: 0.0 Bohr magnetons per cell.

Cell: 8.1172 8.1172 8.1172 Å, 150.28 137.38 52.82°
With the nearest neighbours (Å) after each atom.
Atoms (fractional coordinates):
K: 0.0046 0.0046 0.0000  2 Ca 3.61, 4 P 3.63, 2 K 3.66
Ca: 0.3611 0.8611 0.5000  2 P 2.71
P: 0.4801 0.4801 0.0000  2 Ca 2.71
K: 0.6542 0.1542 0.5000  2 P 3.28, 2 K 3.66


[9]
Material: KCaP2
Method: DFT, GGA-PBE
State: optimized geometry

Values from the calculation:
The calculated volume is 121.7 Å³ per cell. For the density, the calculation gives 1.9 Mg/m³. The value obtained for the energy relative to the elements is -0.507 eV per atom. As for the magnetic moment: 0.0 Bohr magnetons per cell.

Cell: 5.2814 5.2814 7.0722 Å, 61.98 61.98 45.80°
With the nearest neighbours (Å) after each atom.
Atoms (fractional coordinates):
P: 0.5053 0.5053 0.6599  2 P 2.39
K: 0.2500 0.2500 0.2500  6 P 3.35-3.61
P: 0.9947 0.9947 0.8401  2 P 2.39
Ca: 0.7500 0.7500 0.7500  6 P 2.76-3.03


[10]
Material: K2CaP
Method: DFT, GGA-PBE
State: optimized geometry

Values from the calculation:
The calculated volume is 122.5 Å³ per cell. For the density, the calculation gives 2.0 Mg/m³. The value obtained for the energy relative to the elements is -0.052 eV per atom. As for the magnetic moment: 0.9 Bohr magnetons per cell.

Cell: 6.5835 6.5835 6.5835 Å, 138.81 138.81 59.66°
With the nearest neighbours (Å) after each atom.
Atoms (fractional coordinates):
K: 0.0000 0.0000 0.0000  4 K 3.27
Ca: 0.7500 0.2500 0.5000  4 P 3.27
K: 0.5000 0.5000 0.0000  4 K 3.27
P: 0.2500 0.7500 0.5000  4 Ca 3.27


[11]
Material: KCaP2
Method: DFT, GGA-PBE
State: optimized geometry

Values from the calculation:
The calculated volume is 118.3 Å³ per cell. For the density, the calculation gives 2.0 Mg/m³. The value obtained for the energy relative to the elements is 0.063 eV per atom. As for the magnetic moment: 2.8 Bohr magnetons per cell.

Cell: 4.3716 4.3716 6.1921 Å, 90.00 90.00 90.00°
With the nearest neighbours (Å) after each atom.
Atoms (fractional coordinates):
Ca: 0.0000 0.0000 0.3753  6 P 3.09-3.10
P: 0.5000 0.5000 0.3745  4 Ca 3.09, 2 K 3.10
P: 0.0000 0.0000 0.8758  4 K 3.09, 2 Ca 3.09-3.10
K: 0.5000 0.5000 0.8744  6 P 3.09-3.10


[12]
Material: KCa2P2
Method: DFT, GGA-PBE
State: optimized geometry

Values from the calculation:
The calculated volume is 242.4 Å³ per cell. For the density, the calculation gives 2.5 Mg/m³. The value obtained for the energy relative to the elements is -0.739 eV per atom. As for the magnetic moment: 0.0 Bohr magnetons per cell.

Cell: 8.4815 8.4815 3.3694 Å, 90.00 90.00 90.00°
With the nearest neighbours (Å) after each atom.
Atoms (fractional coordinates):
K: 0.0000 0.0000 0.0000  4 Ca 3.31, 2 K 3.37, 8 P 3.59
Ca: 0.8674 0.6326 0.0000  6 P 2.96-3.05, 1 Ca 3.18
Ca: 0.3674 0.8674 0.0000  6 P 2.96-3.05, 1 Ca 3.18
P: 0.8351 0.3351 0.5000  6 Ca 2.96-3.05
P: 0.3351 0.1649 0.5000  6 Ca 2.96-3.05
K: 0.5000 0.5000 0.0000  4 Ca 3.31, 2 K 3.37, 8 P 3.59
Ca: 0.1326 0.3674 0.0000  6 P 2.96-3.05, 1 Ca 3.18
P: 0.1649 0.6649 0.5000  6 Ca 2.96-3.05
Ca: 0.6326 0.1326 0.0000  6 P 2.96-3.05, 1 Ca 3.18
P: 0.6649 0.8351 0.5000  6 Ca 2.96-3.05


DFT total energy for every record listed, in sequence, given in eV per atom: -5.08, -3.89, -5.79, -1.53, -3.63, -2.76, -2.15, -2.67, -3.99, -2.45, -3.42, -3.92.